The following is a PBE calculation of a geometry-optimized Be2FeGeMo structure, from Alexandria via LeMat-Bulk.

Cell lengths 3.974, 3.974, 4.504 Å; angles 90.00, 90.00, 90.00 degrees
Space group P4/mmm (No. 123)
Unique sites:
1 Be 0.000 0.500 0.000
2 Fe 0.000 0.000 0.000
3 Ge 0.500 0.500 0.500
4 Mo 0.000 0.000 0.500

Properties
Calculated formation energy, meV/atom: 733
Raw total energy, eV for the cell shown: -27.70
V, A^3/atom: 14.2

=====

The following is a PBE calculation of a geometry-optimized LaSc2Cd structure, from Alexandria via LeMat-Bulk.

Cell lengths 3.2853, 3.2853, 33.9626 Å; angles 90.00, 90.00, 120.00 degrees
Space group R-3m (No. 166, hexagonal axes)
Unique sites:
1 La 0.0000 0.0000 0.0000
2 Sc 0.0000 0.0000 0.0946
3 Cd 0.0000 0.0000 0.5000

Properties
Calculated formation energy, meV/atom: 104
Raw total energy, eV for the cell shown: -54.26
V, A^3/atom: 26.5

=====

The following is a PBE calculation of a geometry-optimized Rb2NaCl7 structure, from Alexandria via LeMat-Bulk.

Cell lengths 7.996, 7.996, 9.094 Å; angles 90.00, 90.00, 90.00 degrees
Space group I4/mmm (No. 139)
Unique sites:
1 Rb 0.000 0.500 0.250
2 Na 0.000 0.000 0.000
3 Cl 0.000 0.000 0.264
4 Cl 0.000 0.000 0.500
5 Cl 0.244 0.244 0.000

Properties
Raw total energy, eV for the cell shown: -49.89
Uncorrected formation energy, eV per atom: -0.876
V, A^3/atom: 29.1

=====

The following is a PBE calculation of a geometry-optimized Ca3Pr5H12 structure, from Alexandria via LeMat-Bulk.

Cell lengths 13.937, 13.937, 13.937 Å; angles 90.00, 90.00, 90.00 degrees
Space group Ia-3d (No. 230)
Unique sites:
1 Ca 0.000 0.250 0.125
2 Pr 0.000 0.000 0.000
3 Pr 0.000 0.250 0.375
4 H 0.001 0.054 0.160

Properties
Raw total energy, eV for the cell shown: -621.47
V, A^3/atom: 16.9

=====

The following is a PBE calculation of a geometry-optimized KGdAg2 structure, from Alexandria via LeMat-Bulk.

Cell lengths 3.795, 3.795, 8.195 Å; angles 90.00, 90.00, 90.00 degrees
Space group P4/mmm (No. 123)
Unique sites:
1 K 0.000 0.000 0.000
2 Gd 0.000 0.000 0.500
3 Ag 0.500 0.500 0.311

Properties
Calculated formation energy, meV/atom: -104
Raw total energy, eV for the cell shown: -21.30
V, A^3/atom: 29.5

=====

The following is a PBE calculation of a geometry-optimized LiCeGdCu structure, from Alexandria via LeMat-Bulk.

Cell lengths 7.178, 7.178, 7.178 Å; angles 90.00, 90.00, 90.00 degrees
Space group F-43m (No. 216)
Unique sites:
1 Li 0.000 0.000 0.000
2 Ce 0.250 0.250 0.750
3 Gd 0.250 0.250 0.250
4 Cu 0.000 0.000 0.500

Properties
Calculated formation energy, meV/atom: 79
Raw total energy, eV for the cell shown: -102.84
V, A^3/atom: 23.1